# 1
# GGA-PBE Pr4Er8Tm3, relaxed
# **Final energy**: -4.235 eV per atom
# **Energy relative to the elements**: 5.51 eV per formula unit
data_Pr4Er8Tm3
_chemical_formula_sum 'Pr8 Er16 Tm6'
_space_group_name_H-M_alt 'C 1 2/m 1'
_space_group_IT_number 12
_cell_length_a 13.3638
_cell_length_b 12.8477
_cell_length_c 6.7217
_cell_angle_alpha 90.00
_cell_angle_beta 119.90
_cell_angle_gamma 90.00
loop_
_space_group_symop_operation_xyz
'x,y,z'
'-x,-y,-z'
'-x,y,-z'
'x,-y,z'
'x+1/2,y+1/2,z'
'-x+1/2,-y+1/2,-z'
'-x+1/2,y+1/2,-z'
'x+1/2,-y+1/2,z'
loop_
_atom_site_label
_atom_site_fract_x
_atom_site_fract_y
_atom_site_fract_z
Pr1 0.0000 0.0000 0.0000
Pr2 0.0000 0.0000 0.5000
Pr3 0.2500 0.2500 0.0000
Er1 0.0000 0.2558 0.0000
Er2 0.0000 0.3642 0.5000
Er3 0.2282 0.5000 0.9607
Er4 0.2317 0.5000 0.4846
Tm1 0.0000 0.5000 0.0000
Tm2 0.2500 0.2500 0.5000



# 2
# GGA-PBE Ti2ZnB2, relaxed
# **Final energy**: -6.674 eV per atom
# **Energy relative to the elements**: -2.95 eV per formula unit
data_Ti2ZnB2
_chemical_formula_sum 'Ti4 Zn2 B4'
_space_group_name_H-M_alt 'P 4/m b m'
_space_group_IT_number 127
_space_group_name_Hall '-P 4 2ab'
_cell_length_a 5.8910
_cell_length_b 5.8910
_cell_length_c 3.2128
_cell_angle_alpha 90.00
_cell_angle_beta 90.00
_cell_angle_gamma 90.00
loop_
_atom_site_label
_atom_site_fract_x
_atom_site_fract_y
_atom_site_fract_z
Ti1 0.1800 0.3200 0.0000
Zn1 0.0000 0.0000 0.5000
B1 0.1028 0.6028 0.5000